DFT (PBE with a Hubbard U) results for crystalline NiBrO at its relaxed geometry.

Computed properties:
raw total energy: -3.46 eV/atom

abc: 2.8264 2.8267 6.8318
angles: 90.09 90.17 92.64
Last column: nearest neighbours and their distance in Å.
Sites, in units of the cell vectors:
Ni  0.0837  0.7696  0.4948  4 O 1.95-2.04
Br  0.0974  0.7846  0.9951  4 Br 2.83
O  0.5841  0.2699  0.4948  4 Ni 1.95-2.04